(1)
VASP calculation (PBE) on Tc2AgGeN after structural relaxation.

Values from the calculation:
Magnetization, μB/f.u.: 5.46
Calculated volume, Å³ per atom: 17.808
Raw total energy, eV per atom: -5.64
N(E_F), states/eV per atom: 0.9363
ΔE_f (raw), kcal/mol of atoms: 38.42

Cell: 4.9153 3.6855 4.9153 Å, 90.00 90.00 90.00°
Last column: nearest neighbours and their distance in Å.
Fractional coordinates of all 5 atoms:
Ge  0.0000  0.0000  0.0000  2 N 1.84
Ag  0.5000  0.5000  0.5000  8 Tc 3.07
N  0.0000  0.5000  0.0000  2 Ge 1.84
Tc  0.5000  0.0000  0.0000  2 Ge 2.46
Tc  0.0000  0.0000  0.5000  2 Ge 2.46



(2)
VASP calculation (PBE) on Cs2KCr2Cl7 after structural relaxation.

Values from the calculation:
Magnetization, μB/f.u.: 8.00
Calculated volume, Å³ per atom: 28.715
Raw total energy, eV per atom: -4.41
N(E_F), states/eV per atom: 0.1500
ΔE_f (raw), kcal/mol of atoms: -34.43

Cell: 5.0696 5.0696 13.8794 Å, 79.46 79.46 90.00°
Last column: nearest neighbours and their distance in Å.
Fractional coordinates of all 12 atoms:
Cl  0.6848  0.6848  0.6311  1 Cr 2.48
K  0.0000  0.0000  0.0000  12 Cl 3.48-3.58
Cs  0.1813  0.1813  0.6377  9 Cl 3.54-3.60
Cl  0.3152  0.3152  0.3689  1 Cr 2.48
Cr  0.4077  0.4077  0.1841  6 Cl 2.47-2.54
Cl  0.5893  0.0894  0.8218  2 Cr 2.54
Cl  0.9106  0.4107  0.1782  2 Cr 2.54
Cl  0.5000  0.5000  0.0000  2 Cr 2.47
Cl  0.0894  0.5893  0.8218  2 Cr 2.54
Cs  0.8187  0.8187  0.3623  9 Cl 3.54-3.60
Cr  0.5923  0.5923  0.8159  6 Cl 2.47-2.54
Cl  0.4107  0.9106  0.1782  2 Cr 2.54



(3)
VASP calculation (PBE) on NaVPb2S after structural relaxation.

Values from the calculation:
Magnetization, μB/f.u.: 0.00
Calculated volume, Å³ per atom: 26.555
Raw total energy, eV per atom: -4.41
N(E_F), states/eV per atom: 0.7604
ΔE_f (raw), kcal/mol of atoms: -0.35

Cell: 5.4453 4.4779 5.4453 Å, 90.00 90.00 90.00°
Last column: nearest neighbours and their distance in Å.
Fractional coordinates of all 5 atoms:
V  0.0000  0.0000  0.0000  2 S 2.24
Pb  0.0000  0.0000  0.5000  2 V 2.72
Pb  0.5000  0.0000  0.0000  2 V 2.72
S  0.0000  0.5000  0.0000  2 V 2.24
Na  0.5000  0.5000  0.5000  8 Pb 3.52, 4 S 3.85



- What is the formula in the first record?
  Tc2AgGeN



Repeat the first record exactly.
VASP calculation (PBE) on Tc2AgGeN after structural relaxation.

Values from the calculation:
Magnetization, μB/f.u.: 5.46
Calculated volume, Å³ per atom: 17.808
Raw total energy, eV per atom: -5.64
N(E_F), states/eV per atom: 0.9363
ΔE_f (raw), kcal/mol of atoms: 38.42

Cell: 4.9153 3.6855 4.9153 Å, 90.00 90.00 90.00°
Last column: nearest neighbours and their distance in Å.
Fractional coordinates of all 5 atoms:
Ge  0.0000  0.0000  0.0000  2 N 1.84
Ag  0.5000  0.5000  0.5000  8 Tc 3.07
N  0.0000  0.5000  0.0000  2 Ge 1.84
Tc  0.5000  0.0000  0.0000  2 Ge 2.46
Tc  0.0000  0.0000  0.5000  2 Ge 2.46



- Among the records above, which one has the lowest N(E_F)?
  Cs2KCr2Cl7



- The highest ΔE_f (raw) belongs to which entry?
  Tc2AgGeN